DFT (PBE-GGA) results for a relaxed structure of La4Se2SBr.

## Properties
**Raw formation energy**: -42.9 kcal/mol of atoms

The structure in CIF format:
```
data_La4Se2SBr
_chemical_formula_sum 'La4 Se2 S1 Br1'
_cell_length_a 7.3657
_cell_length_b 4.2775
_cell_length_c 7.4620
_cell_angle_alpha 90.00
_cell_angle_beta 109.46
_cell_angle_gamma 90.00
_space_group_name_H-M_alt 'P 1 2/m 1'
_space_group_IT_number 10
loop_
_space_group_symop_operation_xyz
'x,y,z'
'-x,-y,-z'
'-x,y,-z'
'x,-y,z'
loop_
_atom_site_label
_atom_site_fract_x
_atom_site_fract_y
_atom_site_fract_z
La1 0.2427 0.0000 0.2325
La2 0.2538 0.5000 0.7669
Se1 0.5000 0.0000 0.0000
Se2 0.5000 0.5000 0.5000
S1 0.0000 0.5000 0.0000
Br1 0.0000 0.0000 0.5000
```

***

DFT (PBE-GGA) results for a relaxed structure of Fe2Co2Pt.

## Properties
**Formation energy**: 317 meV per atom
**Relative energy among the computed polymorphs**: 361 meV/atom

The structure in CIF format:
```
data_Fe2Co2Pt
_chemical_formula_sum 'Fe4 Co4 Pt2'
_cell_length_a 3.6240
_cell_length_b 3.6240
_cell_length_c 10.0903
_cell_angle_alpha 90.00
_cell_angle_beta 90.00
_cell_angle_gamma 90.00
_space_group_name_H-M_alt 'I 4/m m m'
_space_group_IT_number 139
_space_group_name_Hall '-I 4 2'
loop_
_atom_site_label
_atom_site_fract_x
_atom_site_fract_y
_atom_site_fract_z
Fe1 0.0000 0.5000 0.2500
Co1 0.0000 0.0000 0.1075
Pt1 0.0000 0.0000 0.5000
```

***

DFT (PBE-GGA) results for a relaxed structure of Co3Ir.

## Properties
**Formation energy**: 213 meV per atom

The structure in CIF format:
```
data_Co3Ir
_chemical_formula_sum 'Co9 Ir3'
_cell_length_a 8.1563
_cell_length_b 8.1563
_cell_length_c 2.5828
_cell_angle_alpha 90.00
_cell_angle_beta 90.00
_cell_angle_gamma 120.00
_space_group_name_H-M_alt 'R -3 m'
_space_group_IT_number 166
_space_group_name_Hall '-R 3 2"'
loop_
_atom_site_label
_atom_site_fract_x
_atom_site_fract_y
_atom_site_fract_z
Co1 0.0000 0.5000 0.0000
Ir1 0.0000 0.0000 0.0000
```